## Na3CdHg (PBE)

Data for an optimized crystal structure of Na3CdHg.

Cell lengths 11.4106, 9.4862, 7.5422 Å; angles 90.00, 128.09, 90.00 degrees
Closest atoms and distances in Å follow each position.
Space group C2/m (No. 12)
Asymmetric unit:
Na 0.0623 0.0000 0.3342 x4  2 Hg 3.01-3.32, 1 Cd 3.28
Na 0.2064 0.3081 0.7362 x8  2 Hg 3.07-3.19, 1 Cd 3.23
Cd 0.0730 0.5000 0.2952 x4  2 Hg 2.89-2.92, 2 Na 3.23
Hg 0.2338 0.5000 0.1081 x4  2 Cd 2.89-2.92, 5 Na 3.01-3.19

Results
**M_tot**: 0.000 μB/atom
**DFT total energy**: -0.0818 Ry/atom



## NaCd12Hg16 (PBE)

Data for an optimized crystal structure of NaCd12Hg16.

Cell lengths 12.4287, 15.3818, 9.0808 Å; angles 90.00, 122.88, 90.00 degrees
Closest atoms and distances in Å follow each position.
Space group Cm (No. 8)
Asymmetric unit:
Na 0.0000 0.0000 0.0000 x2  8 Hg 3.16-3.40, 5 Cd 3.19-3.45
Cd 0.0098 0.0980 0.6654 x4  3 Cd 3.02-3.32, 6 Hg 3.04-3.29
Cd 0.0293 0.5000 0.5252 x2  7 Hg 2.99-3.35, 3 Cd 3.00-3.27
Cd 0.0851 0.3972 0.0554 x4  3 Cd 2.99-3.16, 6 Hg 3.05-3.32
Cd 0.1070 0.2086 0.4802 x4  3 Cd 2.99-3.15, 6 Hg 3.03-3.34
Cd 0.2155 0.5000 0.9158 x2  3 Cd 2.99-3.00, 4 Hg 3.08-3.13, 1 Na 3.19
Cd 0.2521 0.0967 0.3506 x4  3 Cd 2.97-3.27, 6 Hg 3.04-3.31
Cd 0.3053 0.1763 0.8583 x4  3 Cd 2.99-3.32, 5 Hg 3.07-3.22
Hg 0.0055 0.3223 0.6883 x4  4 Hg 3.12-3.48, 5 Cd 3.14-3.46
Hg 0.0255 0.0000 0.3776 x2  6 Cd 3.11-3.34, 3 Hg 3.23-3.45, 1 Na 3.27
Hg 0.0979 0.1958 0.0042 x4  3 Cd 3.04-3.15, 2 Hg 3.12-3.25, 1 Na 3.24
Hg 0.2334 0.5000 0.4068 x2  5 Cd 3.11-3.29, 4 Hg 3.28-3.29
Hg 0.2511 0.0000 0.9927 x2  3 Hg 3.16-3.29, 1 Na 3.16, 4 Cd 3.19-3.23
Hg 0.2811 0.3653 0.7166 x4  5 Cd 3.13-3.35, 5 Hg 3.20-3.47, 1 Na 3.27
Hg 0.2851 0.2928 0.3781 x4  4 Cd 3.04-3.11, 5 Hg 3.18-3.30
Hg 0.3437 0.0000 0.7149 x2  6 Cd 3.16-3.32, 4 Hg 3.29-3.48
Hg 0.3743 0.3388 0.1187 x4  3 Cd 3.06-3.22, 4 Hg 3.18-3.28, 1 Na 3.40
Hg 0.4548 0.1375 0.2529 x4  5 Cd 2.99-3.15, 2 Hg 3.16-3.28

Results
**M_tot**: 0.000 μB/atom
**DFT total energy**: -0.0433 Ry/atom



## Na8CdHg2 (PBE)

Data for an optimized crystal structure of Na8CdHg2.

Cell lengths 5.1651, 8.3664, 15.1712 Å; angles 90.00, 90.00, 90.00 degrees
Closest atoms and distances in Å follow each position.
Space group Immm (No. 71)
Asymmetric unit:
Na 0.0000 0.0000 0.1520 x4  8 Na 3.42-3.49, 2 Cd 3.46, 2 Hg 3.50
Na 0.0000 0.2192 0.3447 x8  3 Hg 3.22-3.30, 1 Cd 3.33, 5 Na 3.45-3.50
Na 0.0000 0.3019 0.0000 x4  7 Na 3.31-3.50, 2 Hg 3.36, 2 Cd 3.61
Cd 0.0000 0.5000 0.5000 x2  12 Na 3.33-3.61
Hg 0.0000 0.5000 0.1924 x4  10 Na 3.22-3.50

Results
**M_tot**: 0.000 μB/atom
**DFT total energy**: -0.0893 Ry/atom



## Na5CdHg (PBE)

Data for an optimized crystal structure of Na5CdHg.

Cell lengths 16.4119, 8.6068, 6.3502 Å; angles 90.00, 108.56, 90.00 degrees
Closest atoms and distances in Å follow each position.
Space group C2/c (No. 15)
Asymmetric unit:
Na 0.0000 0.1500 0.2500 x4  3 Hg 3.29-3.44, 2 Na 3.56
Na 0.1167 0.4923 0.1246 x8  2 Na 3.18, 2 Hg 3.19-3.28, 2 Cd 3.38-3.39
Na 0.1792 0.1036 0.9505 x8  1 Hg 3.08, 1 Cd 3.24, 1 Na 3.35
Cd 0.2500 0.2500 0.5000 x4  8 Na 3.24-3.54
Hg 0.0000 0.2496 0.7500 x4  9 Na 3.08-3.44

Results
**M_tot**: 0.000 μB/atom
**DFT total energy**: -0.0891 Ry/atom



| no. | E_form (eV per atom) |
| --- | --- |
| 1 | -0.078 |
| 2 | 0.001 |
| 3 | -0.117 |
| 4 | -0.096 |